[1]
The following is a PBE-GGA calculation of an optimized crystal structure of InBS, from the Alexandria database.

Values from the calculation:
The mass density comes out at 4.120 g/cm³. Its formation energy without anion corrections is -78 meV/atom. The calculation puts the energy relative to the lowest polymorph listed for this composition at 81.2 meV/atom. The crystal system is triclinic.

Lattice parameters (Å, degrees): 4.0453 5.8240 6.3517 68.06 71.48 69.69
Last column: nearest neighbours and their distance in Å.
Element x y z (fractional)
S: 0.1226 0.2332 0.5214  2 B 1.87
S: 0.8774 0.7668 0.4786  2 B 1.87
B: 0.2982 0.5001 0.4998  1 B 1.63
B: 0.7018 0.4999 0.5002  1 B 1.63
In: 0.3741 0.2874 0.9619  2 B 2.80, 1 In 3.04
In: 0.6259 0.7126 0.0381  2 B 2.80, 1 In 3.04

=====

[2]
The following is a PBE-GGA calculation of an optimized crystal structure of InBS, from the Alexandria database.

Values from the calculation:
The mass density comes out at 4.381 g/cm³. Its formation energy without anion corrections is -159 meV/atom. The calculation puts the energy relative to the lowest polymorph listed for this composition at 0.0 meV/atom. The crystal system is triclinic.

Lattice parameters (Å, degrees): 3.0120 6.2934 7.0596 104.63 103.31 103.84
Last column: nearest neighbours and their distance in Å.
Element x y z (fractional)
S: 0.2641 0.7752 0.2339  2 B 1.86
S: 0.7359 0.2248 0.7661  2 B 1.86
B: 0.6124 0.6192 0.0979  1 B 1.63
B: 0.3876 0.3808 0.9021  1 B 1.63
In: 0.5439 0.2915 0.3000  2 B 2.78-2.96, 2 In 3.01, 1 S 3.04
In: 0.4561 0.7085 0.7000  2 B 2.78-2.96, 2 In 3.01, 1 S 3.04

=====

[3]
The following is a PBE-GGA calculation of an optimized crystal structure of InBS, from the Alexandria database.

Values from the calculation:
The mass density comes out at 3.691 g/cm³. Its formation energy without anion corrections is -39 meV/atom. The calculation puts the energy relative to the lowest polymorph listed for this composition at 119.8 meV/atom. The crystal system is monoclinic.

Lattice parameters (Å, degrees): 5.8173 3.9828 6.4547 90.00 108.44 90.00
Last column: nearest neighbours and their distance in Å.
Element x y z (fractional)
S: 0.4955 0.0000 0.2740  2 B 1.87
S: 0.5045 0.0000 0.7260  2 B 1.87
B: 0.5000 0.7035 0.5000  1 B 1.62
B: 0.5000 0.2965 0.5000  1 B 1.62
In: 0.0321 0.5000 0.2575  2 B 2.80
In: 0.9679 0.5000 0.7425  2 B 2.80

=====

[4]
The following is a PBE-GGA calculation of an optimized crystal structure of ScIn2BS, from the Alexandria database.

Values from the calculation:
The mass density comes out at 5.186 g/cm³. Its formation energy without anion corrections is 474 meV/atom. The crystal system is tetragonal.

Lattice parameters (Å, degrees): 4.6952 4.6110 4.6952 90.00 90.00 90.00
Last column: nearest neighbours and their distance in Å.
Element x y z (fractional)
Sc: 0.5000 0.5000 0.5000  8 In 3.29, 4 S 3.32
S: 0.0000 0.5000 0.0000  2 B 2.31
B: 0.0000 0.0000 0.0000  2 S 2.31, 4 In 2.35
In: 0.0000 0.0000 0.5000  2 B 2.35
In: 0.5000 0.0000 0.0000  2 B 2.35

=====

[5]
The following is a PBE-GGA calculation of an optimized crystal structure of In2SiBS, from the Alexandria database.

Values from the calculation:
The mass density comes out at 5.032 g/cm³. Its formation energy without anion corrections is 785 meV/atom. The crystal system is tetragonal.

Lattice parameters (Å, degrees): 4.7071 4.7071 4.4767 90.00 90.00 90.00
Last column: nearest neighbours and their distance in Å.
Element x y z (fractional)
S: 0.0000 0.0000 0.5000  2 B 2.24
B: 0.0000 0.0000 0.0000  2 S 2.24, 4 In 2.35
Si: 0.5000 0.5000 0.5000  8 In 3.25, 4 S 3.33
In: 0.0000 0.5000 0.0000  2 B 2.35
In: 0.5000 0.0000 0.0000  2 B 2.35

=====

[6]
The following is a PBE-GGA calculation of an optimized crystal structure of InSiBS2, from the Alexandria database.

Values from the calculation:
The mass density comes out at 4.022 g/cm³. Its formation energy without anion corrections is 393 meV/atom. The crystal system is tetragonal.

Lattice parameters (Å, degrees): 4.8229 3.8665 4.8229 90.00 90.00 90.00
Last column: nearest neighbours and their distance in Å.
Element x y z (fractional)
S: 0.0000 0.0000 0.5000  2 Si 2.41
S: 0.5000 0.0000 0.0000  2 Si 2.41
B: 0.0000 0.5000 0.0000  2 Si 1.93
Si: 0.0000 0.0000 0.0000  2 B 1.93
In: 0.5000 0.5000 0.5000  8 S 3.09, 4 B 3.41

=====

[7]
The following is a PBE-GGA calculation of an optimized crystal structure of Sr2InBS5, from the Alexandria database.

Values from the calculation:
The mass density comes out at 3.744 g/cm³. Its formation energy without anion corrections is -1147 meV/atom. The crystal system is orthorhombic.

Lattice parameters (Å, degrees): 3.7799 8.9708 12.3419 90.00 90.00 102.16
Last column: nearest neighbours and their distance in Å.
Element x y z (fractional)
Sr: 0.8810 0.7621 0.8348  6 S 2.95-3.02
Sr: 0.1232 0.2465 0.6853  7 S 2.95-3.18
Sr: 0.1190 0.2379 0.3348  6 S 2.95-3.02
Sr: 0.8768 0.7535 0.1853  7 S 2.95-3.18
In: 0.8037 0.6074 0.5387  6 S 2.55-2.75
In: 0.1963 0.3926 0.0387  6 S 2.55-2.75
B: 0.5643 0.1286 0.9080  2 S 1.86-1.90
B: 0.4357 0.8714 0.4080  2 S 1.86-1.90
S: 0.3404 0.6807 0.0095  1 In 2.55
S: 0.6707 0.3413 0.8810  1 B 1.90
S: 0.5063 0.0126 0.7819  1 B 1.86
S: 0.2994 0.5989 0.6827  2 In 2.60
S: 0.9558 0.9117 0.5021  2 B 2.25
S: 0.6596 0.3193 0.5095  1 In 2.55
S: 0.3293 0.6587 0.3810  1 B 1.90
S: 0.4937 0.9874 0.2819  1 B 1.86
S: 0.7006 0.4011 0.1827  2 In 2.60
S: 0.0442 0.0883 0.0021  2 B 2.25

=====

[8]
The following is a PBE-GGA calculation of an optimized crystal structure of Tl2InBS4, from the Alexandria database.

Values from the calculation:
The mass density comes out at 5.575 g/cm³. Its formation energy without anion corrections is -402 meV/atom. The crystal system is tetragonal.

Lattice parameters (Å, degrees): 6.9145 6.9144 6.3982 122.69 122.70 90.02
Last column: nearest neighbours and their distance in Å.
Element x y z (fractional)
Tl: 0.4858 0.9859 0.9715  4 S 3.06
Tl: 0.2358 0.2358 0.4715  8 S 3.39-3.57
In: 0.9859 0.4859 0.9717  4 S 2.52
B: 0.7359 0.7359 0.4718  4 S 1.95
S: 0.7171 0.6549 0.7106  1 B 1.95
S: 0.8172 0.4787 0.2336  1 B 1.95
S: 0.4163 0.7545 0.2330  1 B 1.95
S: 0.9932 0.0555 0.7104  1 B 1.95

=====

[9]
The following is a PBE-GGA calculation of an optimized crystal structure of ZnInBS2, from the Alexandria database.

Values from the calculation:
The mass density comes out at 4.862 g/cm³. Its formation energy without anion corrections is 426 meV/atom. The crystal system is tetragonal.

Lattice parameters (Å, degrees): 4.6754 3.9867 4.6754 90.00 90.00 90.00
Last column: nearest neighbours and their distance in Å.
Element x y z (fractional)
Zn: 0.0000 0.5000 0.0000  2 B 1.99
B: 0.0000 0.0000 0.0000  2 Zn 1.99
S: 0.0000 0.0000 0.5000  2 B 2.34
S: 0.5000 0.0000 0.0000  2 B 2.34
In: 0.5000 0.5000 0.5000  8 S 3.07, 4 Zn 3.31

=====

[10]
The following is a PBE-GGA calculation of an optimized crystal structure of InBSb3, from the Alexandria database.

Values from the calculation:
The mass density comes out at 6.737 g/cm³. Its formation energy without anion corrections is 643 meV/atom. The calculation puts the energy relative to the lowest polymorph listed for this composition at 0.0 meV/atom. The crystal system is cubic.

Lattice parameters (Å, degrees): 4.9461 4.9461 4.9461 90.00 90.00 90.00
Last column: nearest neighbours and their distance in Å.
Element x y z (fractional)
Sb: 0.0000 0.5000 0.0000  2 B 2.47
Sb: 0.0000 0.0000 0.5000  2 B 2.47
Sb: 0.5000 0.0000 0.0000  2 B 2.47
B: 0.0000 0.0000 0.0000  6 Sb 2.47
In: 0.5000 0.5000 0.5000  12 Sb 3.50

=====

[11]
The following is a PBE-GGA calculation of an optimized crystal structure of In3BSb, from the Alexandria database.

Values from the calculation:
The mass density comes out at 4.209 g/cm³. Its formation energy without anion corrections is 1435 meV/atom. The crystal system is cubic.

Lattice parameters (Å, degrees): 5.7309 5.7309 5.7309 90.00 90.00 90.00
Last column: nearest neighbours and their distance in Å.
Element x y z (fractional)
Sb: 0.0000 0.0000 0.0000  6 In 2.87
B: 0.5000 0.5000 0.5000  12 In 4.05
In: 0.0000 0.5000 0.0000  2 Sb 2.87
In: 0.0000 0.0000 0.5000  2 Sb 2.87
In: 0.5000 0.0000 0.0000  2 Sb 2.87

=====

[12]
The following is a PBE-GGA calculation of an optimized crystal structure of InBSb3, from the Alexandria database.

Values from the calculation:
The mass density comes out at 4.630 g/cm³. Its formation energy without anion corrections is 1678 meV/atom. The calculation puts the energy relative to the lowest polymorph listed for this composition at 1034.4 meV/atom. The crystal system is cubic.

Lattice parameters (Å, degrees): 5.6046 5.6046 5.6046 90.00 90.00 90.00
Last column: nearest neighbours and their distance in Å.
Element x y z (fractional)
Sb: 0.0000 0.5000 0.0000  2 In 2.80
Sb: 0.0000 0.0000 0.5000  2 In 2.80
Sb: 0.5000 0.0000 0.0000  2 In 2.80
B: 0.5000 0.5000 0.5000  12 Sb 3.96
In: 0.0000 0.0000 0.0000  6 Sb 2.80

=====

[13]
The following is a PBE-GGA calculation of an optimized crystal structure of InBSbSe2, from the Alexandria database.

Values from the calculation:
The mass density comes out at 6.219 g/cm³. Its formation energy without anion corrections is 529 meV/atom. The crystal system is tetragonal.

Lattice parameters (Å, degrees): 4.9505 4.4158 4.9505 90.00 90.00 90.00
Last column: nearest neighbours and their distance in Å.
Element x y z (fractional)
Sb: 0.5000 0.5000 0.5000  8 Se 3.32, 4 In 3.50
B: 0.0000 0.0000 0.0000  2 In 2.21
Se: 0.0000 0.0000 0.5000  2 B 2.48
Se: 0.5000 0.0000 0.0000  2 B 2.48
In: 0.0000 0.5000 0.0000  2 B 2.21